No. 1
First-principles (PBE) data for a geometry-optimized TaOsRu2 structure, as listed in the Alexandria database.

Lattice parameters (Å, degrees): 4.7827 4.7827 4.7831 99.76 99.76 34.11
Positions (direct):
Ta (0.0000, 0.0000, 0.0000)
Os (0.5000, 0.5000, 0.5000)
Ru (0.2449, 0.2449, 0.7324)
Ru (0.7551, 0.7551, 0.2676)

## Properties
The value obtained for the energy is -42.0 eV per cell.

---

No. 2
First-principles (PBE) data for a geometry-optimized TaOsRu4 structure, as listed in the Alexandria database.

Lattice parameters (Å, degrees): 5.0482 5.0482 5.0482 60.00 60.00 60.00
Positions (direct):
Ta (0.0000, 0.0000, 0.0000)
Os (0.2500, 0.2500, 0.2500)
Ru (0.1272, 0.6243, 0.6243)
Ru (0.6243, 0.1272, 0.6243)
Ru (0.6243, 0.6243, 0.1272)
Ru (0.6243, 0.6243, 0.6243)

## Properties
The value obtained for the energy is -58.4 eV per cell.

---

No. 3
First-principles (PBE) data for a geometry-optimized TaOsRu structure, as listed in the Alexandria database.

Lattice parameters (Å, degrees): 4.2509 4.2509 4.2509 60.00 60.00 60.00
Positions (direct):
Ta (0.0000, 0.0000, 0.0000)
Os (0.5000, 0.5000, 0.5000)
Ru (0.7500, 0.7500, 0.7500)

## Properties
The value obtained for the energy is -30.8 eV per cell.

---

No. 4
First-principles (PBE) data for a geometry-optimized Ta2Os3Ru2 structure, as listed in the Alexandria database.

Lattice parameters (Å, degrees): 4.3768 4.7788 5.9864 104.01 111.24 90.05
Positions (direct):
Ta (0.1115, 0.2654, 0.2240)
Ta (0.8885, 0.7346, 0.7760)
Os (0.2472, 0.8352, 0.4947)
Os (0.5000, 0.0000, 0.0000)
Os (0.7528, 0.1648, 0.5053)
Ru (0.3804, 0.3899, 0.7634)
Ru (0.6196, 0.6101, 0.2366)

## Properties
The value obtained for the energy is -75.2 eV per cell.

---

No. 5
First-principles (PBE) data for a geometry-optimized TaOs3Ru structure, as listed in the Alexandria database.

Lattice parameters (Å, degrees): 5.1097 5.1097 5.1097 62.81 62.81 62.81
Positions (direct):
Ta (0.0000, 0.0000, 0.0000)
Os (0.0000, 0.5000, 0.5000)
Os (0.5000, 0.0000, 0.5000)
Os (0.5000, 0.5000, 0.0000)
Ru (0.5000, 0.5000, 0.5000)

## Properties
The value obtained for the energy is -48.5 eV per cell.

---

No. 6
First-principles (PBE) data for a geometry-optimized TaOsRu2 structure, as listed in the Alexandria database.

Lattice parameters (Å, degrees): 4.5333 4.5333 2.9554 90.00 90.00 90.00
Positions (direct):
Ta (0.0000, 0.0000, 0.0000)
Os (0.5000, 0.5000, 0.0000)
Ru (0.0000, 0.5000, 0.5000)
Ru (0.5000, 0.0000, 0.5000)

## Properties
The value obtained for the energy is -41.0 eV per cell.

---

- Which value of energy does entry 6 give?
  -41.0 eV per cell

---

- Which of these has the lowest energy?
  Ta2Os3Ru2

---

Copy entry 6 word for word.
First-principles (PBE) data for a geometry-optimized TaOsRu2 structure, as listed in the Alexandria database.

Lattice parameters (Å, degrees): 4.5333 4.5333 2.9554 90.00 90.00 90.00
Positions (direct):
Ta (0.0000, 0.0000, 0.0000)
Os (0.5000, 0.5000, 0.0000)
Ru (0.0000, 0.5000, 0.5000)
Ru (0.5000, 0.0000, 0.5000)

## Properties
The value obtained for the energy is -41.0 eV per cell.